A) VASP calculation (PBE) on a relaxed YTi2In2 crystal.

Cell: 8.449 8.449 3.079 Å, 90.00 90.00 90.00°
Fractional coordinates of all 10 atoms:
Y: 0.000 0.000 0.000
Y: 0.500 0.500 0.000
Ti: 0.389 0.889 0.000
Ti: 0.889 0.611 0.000
Ti: 0.611 0.111 0.000
Ti: 0.111 0.389 0.000
In: 0.182 0.682 0.500
In: 0.682 0.818 0.500
In: 0.818 0.318 0.500
In: 0.318 0.182 0.500

Values from the calculation:
N(E_F) = 5.5 states/eV/f.u.
Size of the total moment = 2.4 μB/f.u.
Theoretical density = 6258 kg/m3

B) VASP calculation (PBE) on a relaxed YTi2In2 crystal.

Cell: 8.103 8.103 3.368 Å, 90.00 90.00 90.00°
Fractional coordinates of all 10 atoms:
Y: 0.000 0.000 0.000
Y: 0.500 0.500 0.000
Ti: 0.173 0.673 0.500
Ti: 0.673 0.827 0.500
Ti: 0.827 0.327 0.500
Ti: 0.327 0.173 0.500
In: 0.373 0.873 0.000
In: 0.873 0.627 0.000
In: 0.627 0.127 0.000
In: 0.127 0.373 0.000

Values from the calculation:
N(E_F) = 6.1 states/eV/f.u.
Size of the total moment = 0.0 μB/f.u.
Theoretical density = 6222 kg/m3

It is A) that is most stable; the runner-up trails by 50 meV per atom.